[1]
{
  "formula": "La3InO",
  "functional": "GGA-PBE",
  "state": "relaxed",
  "total_energy_ev_per_atom": -5.7513,
  "lattice_angstrom": [[-23.003, -9.458, 10.042], [-1.138, -3.255, -5.672], [9.940, 1.044, -2.593]],
  "species": ["In", "In", "In", "In", "O", "O", "O", "O", "La", "La", "La", "La", "La", "La", "La", "La", "La", "La", "La", "La"],
  "frac_coords": [[0.023, 0.147, 0.453], [0.977, 0.853, 0.547], [0.477, 0.647, 0.047], [0.523, 0.353, 0.953], [0.531, 0.763, 0.667], [0.469, 0.237, 0.333], [0.969, 0.263, 0.833], [0.031, 0.737, 0.167], [0.297, 0.895, 0.937], [0.703, 0.105, 0.063], [0.203, 0.395, 0.563], [0.797, 0.605, 0.437], [0.360, 0.422, 0.260], [0.640, 0.578, 0.740], [0.140, 0.922, 0.240], [0.860, 0.078, 0.760], [0.404, 0.881, 0.567], [0.596, 0.119, 0.433], [0.096, 0.381, 0.933], [0.904, 0.619, 0.067]]
}

---

[2]
{
  "formula": "Li2Tl2Sb",
  "functional": "GGA-PBE",
  "state": "relaxed",
  "total_energy_ev_per_atom": -2.7525,
  "e_above_lowest_polymorph_mev_per_atom": 0,
  "lattice_angstrom": [[7.179, 0.000, 0.000], [0.000, 7.179, 0.000], [0.000, 0.000, 4.795]],
  "species": ["Sb", "Sb", "Tl", "Tl", "Tl", "Tl", "Li", "Li", "Li", "Li"],
  "frac_coords": [[0.000, 0.000, 0.000], [0.500, 0.500, 0.000], [0.168, 0.668, 0.500], [0.668, 0.832, 0.500], [0.832, 0.332, 0.500], [0.332, 0.168, 0.500], [0.350, 0.850, 0.000], [0.850, 0.650, 0.000], [0.650, 0.150, 0.000], [0.150, 0.350, 0.000]]
}

---

[3]
{
  "formula": "Rb2SnMoCl6",
  "functional": "GGA-PBE",
  "state": "relaxed",
  "total_energy_ev_per_atom": -3.9601,
  "lattice_angstrom": [[-1.876, 7.331, 0.860], [-7.379, -1.839, -0.418], [-4.765, 2.082, 5.576]],
  "species": ["Mo", "Sn", "Rb", "Rb", "Cl", "Cl", "Cl", "Cl", "Cl", "Cl"],
  "frac_coords": [[0.500, 0.500, 0.000], [0.000, 0.000, 0.000], [0.750, 0.250, 0.500], [0.250, 0.750, 0.500], [0.264, 0.264, 0.472], [0.736, 0.736, 0.528], [0.264, 0.264, 0.000], [0.736, 0.736, 0.000], [0.736, 0.264, 0.000], [0.264, 0.736, 0.000]]
}

---

[4]
{
  "formula": "NbPdI2N",
  "functional": "GGA-PBE",
  "state": "relaxed",
  "total_energy_ev_per_atom": -5.0065,
  "e_above_lowest_polymorph_mev_per_atom": 0,
  "lattice_angstrom": [[-0.828, -4.202, 3.711], [5.543, -0.051, 1.179], [-0.577, 2.613, 2.829]],
  "species": ["I", "I", "Nb", "Pd", "N"],
  "frac_coords": [[0.000, 0.500, 0.000], [0.500, 0.000, 0.000], [0.000, 0.000, 0.000], [0.500, 0.500, 0.500], [0.000, 0.000, 0.500]]
}